# 1
First-principles (GGA-PBEsol) data for a relaxed Zn2CdAg crystal, as listed in the Alexandria database.

**ρ**: 8799 kg/m³
**DOS(E_F)**: 1.0 states/eV/cell
**Energy relative to the elements**: 39 meV per atom

a b c (Å): 2.9294 4.9226 5.4123
angles (deg): 117.00 105.62 90.17
Atoms (fractional coordinates):
Ag1 0.0000 0.5000 0.0000
Cd1 0.5000 0.0000 0.0000
Zn1 0.0000 0.5000 0.5000
Zn2 0.5000 0.0000 0.5000

# 2
First-principles (GGA-PBEsol) data for a relaxed ZnCdAg2 crystal, as listed in the Alexandria database.

**ρ**: 9790 kg/m³
**DOS(E_F)**: 1.2 states/eV/cell
**Energy relative to the elements**: -9 meV per atom

a b c (Å): 4.5533 4.5533 4.5533
angles (deg): 60.00 60.00 60.00
Atoms (fractional coordinates):
Ag1 0.7500 0.7500 0.7500
Ag2 0.0000 0.0000 0.0000
Cd1 0.5000 0.5000 0.5000
Zn1 0.2500 0.2500 0.2500

# 3
First-principles (GGA-PBEsol) data for a relaxed Zn2CdAg crystal, as listed in the Alexandria database.

**ρ**: 9062 kg/m³
**DOS(E_F)**: 1.0 states/eV/cell
**Energy relative to the elements**: 16 meV per atom

a b c (Å): 2.9555 4.7345 5.0053
angles (deg): 105.23 107.17 90.00
Atoms (fractional coordinates):
Ag1 0.5103 0.5238 0.0205
Cd1 0.7450 0.2350 0.4900
Zn1 0.9871 0.9977 0.9743
Zn2 0.2576 0.7435 0.5152

# 4
First-principles (GGA-PBEsol) data for a relaxed Zn2CdAg crystal, as listed in the Alexandria database.

**ρ**: 9033 kg/m³
**DOS(E_F)**: 0.9 states/eV/cell
**Energy relative to the elements**: 2 meV per atom

a b c (Å): 3.1641 3.1641 6.4465
angles (deg): 90.00 90.00 90.00
Atoms (fractional coordinates):
Ag1 0.0000 0.0000 0.4724
Zn1 0.5000 0.5000 0.2420
Zn2 0.0000 0.0000 0.0278
Cd1 0.5000 0.5000 0.7578

# 5
First-principles (GGA-PBEsol) data for a relaxed ZnCdAg2 crystal, as listed in the Alexandria database.

**ρ**: 9814 kg/m³
**DOS(E_F)**: 1.1 states/eV/cell
**Energy relative to the elements**: -32 meV per atom

a b c (Å): 3.2426 4.5843 5.2867
angles (deg): 115.69 107.86 90.00
Atoms (fractional coordinates):
Ag1 0.7340 0.7340 0.4680
Ag2 0.2660 0.2660 0.5320
Zn1 0.0000 0.5000 0.0000
Cd1 0.5000 0.0000 0.0000

# 6
First-principles (GGA-PBEsol) data for a relaxed Zn2CdAg crystal, as listed in the Alexandria database.

**ρ**: 8908 kg/m³
**DOS(E_F)**: 0.9 states/eV/cell
**Energy relative to the elements**: 42 meV per atom

a b c (Å): 2.8205 2.8205 8.6464
angles (deg): 90.00 90.00 107.91
Atoms (fractional coordinates):
Zn1 0.5000 0.5000 0.7550
Zn2 0.0000 0.0000 0.9816
Ag1 0.0000 0.0000 0.5177
Cd1 0.5000 0.5000 0.2457

# 7
First-principles (GGA-PBEsol) data for a relaxed Zn2CdAg crystal, as listed in the Alexandria database.

**ρ**: 9035 kg/m³
**DOS(E_F)**: 1.1 states/eV/cell
**Energy relative to the elements**: 20 meV per atom

a b c (Å): 4.0092 4.0092 4.9147
angles (deg): 114.07 114.07 90.00
Atoms (fractional coordinates):
Zn1 0.7500 0.2500 0.5000
Zn2 0.2500 0.7500 0.5000
Ag1 0.5000 0.5000 0.0000
Cd1 0.0000 0.0000 0.0000

# 8
First-principles (GGA-PBEsol) data for a relaxed Zn2CdAg crystal, as listed in the Alexandria database.

**ρ**: 9095 kg/m³
**DOS(E_F)**: 0.8 states/eV/cell
**Energy relative to the elements**: 18 meV per atom

a b c (Å): 3.2379 4.4443 5.2349
angles (deg): 115.12 108.01 90.00
Atoms (fractional coordinates):
Zn1 0.0136 0.0136 0.0273
Zn2 0.7450 0.2450 0.4900
Cd1 0.2536 0.7536 0.5072
Ag1 0.4878 0.4878 0.9755

# 9
First-principles (GGA-PBEsol) data for a relaxed ZnCdAg2 crystal, as listed in the Alexandria database.

**ρ**: 9809 kg/m³
**DOS(E_F)**: 1.1 states/eV/cell
**Energy relative to the elements**: -45 meV per atom

a b c (Å): 3.8740 4.0684 5.0752
angles (deg): 113.63 112.44 90.00
Atoms (fractional coordinates):
Zn1 0.2525 0.7525 0.5051
Ag1 0.7489 0.2489 0.4979
Ag2 0.9956 0.9956 0.9912
Cd1 0.5029 0.5029 0.0058

# 10
First-principles (GGA-PBEsol) data for a relaxed ZnCdAg2 crystal, as listed in the Alexandria database.

**ρ**: 9772 kg/m³
**DOS(E_F)**: 1.1 states/eV/cell
**Energy relative to the elements**: -12 meV per atom

a b c (Å): 3.2551 4.4939 4.5718
angles (deg): 90.00 90.00 90.00
Atoms (fractional coordinates):
Ag1 0.0000 0.0000 0.0000
Ag2 0.5000 0.0000 0.5000
Cd1 0.5000 0.5000 0.0000
Zn1 0.0000 0.5000 0.5000

# 11
First-principles (GGA-PBEsol) data for a relaxed Zn2CdAg crystal, as listed in the Alexandria database.

**ρ**: 9050 kg/m³
**DOS(E_F)**: 0.8 states/eV/cell
**Energy relative to the elements**: -4 meV per atom

a b c (Å): 2.8630 4.3018 5.4228
angles (deg): 90.00 105.31 90.00
Atoms (fractional coordinates):
Ag1 0.4538 0.0000 0.9077
Zn1 0.0556 0.5000 0.1112
Zn2 0.1851 0.0000 0.3702
Cd1 0.7971 0.5000 0.5943

# 12
First-principles (GGA-PBEsol) data for a relaxed ZnCdAg2 crystal, as listed in the Alexandria database.

**ρ**: 9885 kg/m³
**DOS(E_F)**: 1.2 states/eV/cell
**Energy relative to the elements**: -71 meV per atom

a b c (Å): 3.1300 3.1300 6.7481
angles (deg): 90.00 90.00 89.99
Atoms (fractional coordinates):
Ag1 0.0000 0.0000 0.7762
Ag2 0.0000 0.0000 0.2238
Zn1 0.5000 0.5000 0.0000
Cd1 0.5000 0.5000 0.5000

# 13
First-principles (GGA-PBEsol) data for a relaxed ZnCdAg2 crystal, as listed in the Alexandria database.

**ρ**: 9819 kg/m³
**DOS(E_F)**: 1.0 states/eV/cell
**Energy relative to the elements**: -34 meV per atom

a b c (Å): 3.2673 4.5135 4.5135
angles (deg): 90.00 90.00 90.00
Atoms (fractional coordinates):
Ag1 0.0000 0.0000 0.5000
Ag2 0.0000 0.5000 0.0000
Cd1 0.5000 0.5000 0.5000
Zn1 0.5000 0.0000 0.0000

# 14
First-principles (GGA-PBEsol) data for a relaxed Zn2CdAg crystal, as listed in the Alexandria database.

**ρ**: 9049 kg/m³
**DOS(E_F)**: 1.3 states/eV/cell
**Energy relative to the elements**: 15 meV per atom

a b c (Å): 3.9673 3.9673 4.9626
angles (deg): 113.56 113.56 90.00
Atoms (fractional coordinates):
Ag1 0.5000 0.5000 0.0000
Zn1 0.0000 0.0000 0.0000
Zn2 0.7500 0.2500 0.5000
Cd1 0.2500 0.7500 0.5000

# 15
First-principles (GGA-PBEsol) data for a relaxed Zn2CdAg2 crystal, as listed in the Alexandria database.

**ρ**: 8855 kg/m³
**Energy above the most stable polymorph in this dataset**: 0.033 eV per atom
**DOS(E_F)**: 1.3 states/eV/cell
**Energy relative to the elements**: 30 meV per atom

a b c (Å): 3.5576 3.5576 7.2508
angles (deg): 104.20 104.20 90.00
Atoms (fractional coordinates):
Ag1 0.6026 0.6026 0.2051
Ag2 0.3974 0.3974 0.7949
Zn1 0.7500 0.2500 0.5000
Zn2 0.2500 0.7500 0.5000
Cd1 0.0000 0.0000 0.0000

# 16
First-principles (GGA-PBEsol) data for a relaxed ZnCdAg2 crystal, as listed in the Alexandria database.

**ρ**: 9759 kg/m³
**DOS(E_F)**: 1.2 states/eV/cell
**Energy relative to the elements**: -24 meV per atom

a b c (Å): 2.8585 4.0547 5.7775
angles (deg): 90.00 90.00 90.00
Atoms (fractional coordinates):
Cd1 0.0000 0.0000 0.4976
Ag1 0.5000 0.5000 0.2453
Ag2 0.0000 0.0000 0.9876
Zn1 0.5000 0.5000 0.7695

# 17
First-principles (GGA-PBEsol) data for a relaxed Zn2CdAg crystal, as listed in the Alexandria database.

**ρ**: 8922 kg/m³
**DOS(E_F)**: 1.3 states/eV/cell
**Energy relative to the elements**: 23 meV per atom

a b c (Å): 2.9083 2.9083 9.0774
angles (deg): 80.78 80.78 60.00
Atoms (fractional coordinates):
Ag1 0.4944 0.4944 0.5169
Cd1 0.2516 0.2516 0.2451
Zn1 0.0061 0.0061 0.9818
Zn2 0.7479 0.7479 0.7562

# 18
First-principles (GGA-PBEsol) data for a relaxed ZrCd3Ag crystal, as listed in the Alexandria database.

**ρ**: 5509 kg/m³
**DOS(E_F)**: 5.5 states/eV/cell
**Energy relative to the elements**: 1173 meV per atom

a b c (Å): 5.4476 5.4476 5.4476
angles (deg): 90.00 90.00 90.00
Atoms (fractional coordinates):
Ag1 0.5000 0.5000 0.5000
Zr1 0.0000 0.0000 0.0000
Cd1 0.0000 0.0000 0.5000
Cd2 0.0000 0.5000 0.0000
Cd3 0.5000 0.0000 0.0000

# 19
First-principles (GGA-PBEsol) data for a relaxed ZrCd2Ag crystal, as listed in the Alexandria database.

**ρ**: 9056 kg/m³
**DOS(E_F)**: 2.7 states/eV/cell
**Energy relative to the elements**: -101 meV per atom

a b c (Å): 3.0784 3.0784 8.2021
angles (deg): 90.00 90.00 90.00
Atoms (fractional coordinates):
Cd1 0.0000 0.0000 0.9876
Cd2 0.5000 0.5000 0.2455
Zr1 0.0000 0.0000 0.5108
Ag1 0.5000 0.5000 0.7561

# 20
First-principles (GGA-PBEsol) data for a relaxed ZrCd2Ag crystal, as listed in the Alexandria database.

**ρ**: 9044 kg/m³
**DOS(E_F)**: 2.1 states/eV/cell
**Energy relative to the elements**: -38 meV per atom

a b c (Å): 3.0115 3.0115 10.0614
angles (deg): 81.39 81.39 60.00
Atoms (fractional coordinates):
Cd1 0.7457 0.7457 0.7630
Cd2 0.2543 0.2543 0.2370
Ag1 0.0000 0.0000 0.0000
Zr1 0.5000 0.5000 0.5000

# 21
First-principles (GGA-PBEsol) data for a relaxed ZrCd2Ag crystal, as listed in the Alexandria database.

**ρ**: 8936 kg/m³
**DOS(E_F)**: 3.9 states/eV/cell
**Energy relative to the elements**: -35 meV per atom

a b c (Å): 4.2340 4.2340 4.3941
angles (deg): 90.00 90.00 90.00
Atoms (fractional coordinates):
Ag1 0.0000 0.0000 0.5000
Zr1 0.5000 0.5000 0.5000
Cd1 0.5000 0.0000 0.0000
Cd2 0.0000 0.5000 0.0000

# 22
First-principles (GGA-PBEsol) data for a relaxed ZrCd2Ag crystal, as listed in the Alexandria database.

**ρ**: 9062 kg/m³
**DOS(E_F)**: 1.9 states/eV/cell
**Energy relative to the elements**: -66 meV per atom

a b c (Å): 2.9169 4.1956 6.3472
angles (deg): 90.00 90.00 90.00
Atoms (fractional coordinates):
Ag1 0.5000 0.5000 0.7515
Cd1 0.5000 0.5000 0.2471
Cd2 0.0000 0.0000 0.9928
Zr1 0.0000 0.0000 0.5085

# 23
First-principles (GGA-PBEsol) data for a relaxed ZrCd2Ag crystal, as listed in the Alexandria database.

**ρ**: 9017 kg/m³
**DOS(E_F)**: 2.0 states/eV/cell
**Energy relative to the elements**: -83 meV per atom

a b c (Å): 2.8903 4.5635 6.1007
angles (deg): 90.00 104.05 90.00
Atoms (fractional coordinates):
Cd1 0.1967 0.0000 0.0041
Cd2 0.8063 0.5000 0.2391
Ag1 0.0518 0.5000 0.7357
Zr1 0.4453 0.0000 0.5212

# 24
First-principles (GGA-PBEsol) data for a relaxed ZrCd2Ag crystal, as listed in the Alexandria database.

**ρ**: 9042 kg/m³
**DOS(E_F)**: 2.0 states/eV/cell
**Energy relative to the elements**: -61 meV per atom

a b c (Å): 2.8774 4.6059 6.0110
angles (deg): 90.00 102.25 90.00
Atoms (fractional coordinates):
Ag1 0.0000 0.5000 0.5000
Zr1 0.5000 0.5000 0.0000
Cd1 0.8463 0.0000 0.7411
Cd2 0.1537 0.0000 0.2589

# 25
First-principles (GGA-PBEsol) data for a relaxed ZrCd2Ag crystal, as listed in the Alexandria database.

**ρ**: 9194 kg/m³
**DOS(E_F)**: 1.6 states/eV/cell
**Energy relative to the elements**: -103 meV per atom

a b c (Å): 4.7662 4.7662 4.7662
angles (deg): 60.00 60.00 60.00
Atoms (fractional coordinates):
Zr1 0.2500 0.2500 0.2500
Ag1 0.5000 0.5000 0.5000
Cd1 0.0000 0.0000 0.0000
Cd2 0.7500 0.7500 0.7500

# 26
First-principles (GGA-PBEsol) data for a relaxed ZrCd2Ag crystal, as listed in the Alexandria database.

**ρ**: 9194 kg/m³
**DOS(E_F)**: 1.8 states/eV/cell
**Energy relative to the elements**: -64 meV per atom

a b c (Å): 4.7720 4.7635 4.7720
angles (deg): 59.94 90.00 120.06
Atoms (fractional coordinates):
Cd1 0.7500 0.5000 0.7500
Cd2 0.2500 0.5000 0.2500
Zr1 0.5000 0.0000 0.5000
Ag1 0.0000 0.0000 0.0000

# 27
First-principles (GGA-PBEsol) data for a relaxed ZrCd2Ag crystal, as listed in the Alexandria database.

**ρ**: 8999 kg/m³
**DOS(E_F)**: 2.0 states/eV/cell
**Energy relative to the elements**: -32 meV per atom

a b c (Å): 2.9045 5.0655 5.6016
angles (deg): 97.47 90.00 106.66
Atoms (fractional coordinates):
Zr1 0.4991 0.9982 0.4892
Ag1 0.7479 0.4958 0.2547
Cd1 0.2517 0.5035 0.7569
Cd2 0.0013 0.0025 0.9992

# 28
First-principles (GGA-PBEsol) data for a relaxed CeAg2 crystal, as listed in the Alexandria database.

**ρ**: 9548 kg/m³
**DOS(E_F)**: 10.4 states/eV/cell
**Energy relative to the elements**: -137 meV per atom

a b c (Å): 4.8402 5.7214 5.7214
angles (deg): 64.42 64.98 64.98
Atoms (fractional coordinates):
Ag1 0.1667 0.8337 0.8330
Ag2 0.8333 0.1663 0.1670
Ag3 0.8333 0.6670 0.6663
Ag4 0.1667 0.3330 0.3337
Ce1 0.5003 0.7497 0.2497
Ce2 0.4997 0.2503 0.7503

# 29
First-principles (GGA-PBEsol) data for a relaxed CeAg3 crystal, as listed in the Alexandria database.

**ρ**: 9194 kg/m³
**DOS(E_F)**: 15.0 states/eV/cell
**Energy relative to the elements**: -8 meV per atom

a b c (Å): 4.7612 6.3739 6.3739
angles (deg): 120.00 90.00 90.00
Atoms (fractional coordinates):
Ag1 0.2500 0.1494 0.8506
Ag2 0.7500 0.8506 0.7011
Ag3 0.2500 0.1494 0.2989
Ag4 0.7500 0.8506 0.1494
Ag5 0.2500 0.7011 0.8506
Ag6 0.7500 0.2989 0.1494
Ce1 0.2500 0.6667 0.3333
Ce2 0.7500 0.3333 0.6667

# 30
First-principles (GGA-PBEsol) data for a relaxed CeAg2 crystal, as listed in the Alexandria database.

**ρ**: 9552 kg/m³
**DOS(E_F)**: 5.2 states/eV/cell
**Energy relative to the elements**: -131 meV per atom

a b c (Å): 3.0523 4.8377 4.8377
angles (deg): 120.00 90.00 90.00
Atoms (fractional coordinates):
Ce1 0.5000 0.0000 0.0000
Ag1 0.0000 0.3333 0.6667
Ag2 0.0000 0.6667 0.3333